[1]
# PBE-GGA CeLu2Mg, relaxed
# DFT formation energy ... 18 meV per atom
# Total moment ... 0.213 μB per cell
# Raw total energy ... -16.5 eV per cell
# Crystal system ... tetragonal
data_CeLu2Mg
_chemical_formula_sum 'Ce1 Lu2 Mg1'
_cell_length_a 3.4606
_cell_length_b 3.4606
_cell_length_c 9.2341
_cell_angle_alpha 90.00
_cell_angle_beta 90.00
_cell_angle_gamma 90.00
_space_group_name_H-M_alt 'P 4/m m m'
_space_group_IT_number 123
_space_group_name_Hall '-P 4 2'
loop_
_atom_site_label
_atom_site_type_symbol
_atom_site_fract_x
_atom_site_fract_y
_atom_site_fract_z
Ce1 Ce 0.0000 0.0000 0.0000
Lu1 Lu 0.5000 0.5000 0.2567
Mg1 Mg 0.0000 0.0000 0.5000

---

[2]
# PBE-GGA Ce2LuMg, relaxed
# DFT formation energy ... 149 meV per atom
# Total moment ... 8.908 μB per cell
# Raw total energy ... -69.5 eV per cell
# Crystal system ... cubic
data_Ce2LuMg
_chemical_formula_sum 'Ce8 Lu4 Mg4'
_cell_length_a 7.7457
_cell_length_b 7.7457
_cell_length_c 7.7457
_cell_angle_alpha 90.00
_cell_angle_beta 90.00
_cell_angle_gamma 90.00
_space_group_name_H-M_alt 'F m -3 m'
_space_group_IT_number 225
_space_group_name_Hall '-F 4 2 3'
loop_
_atom_site_label
_atom_site_type_symbol
_atom_site_fract_x
_atom_site_fract_y
_atom_site_fract_z
Ce1 Ce 0.2500 0.2500 0.2500
Lu1 Lu 0.0000 0.0000 0.0000
Mg1 Mg 0.0000 0.0000 0.5000

---

[3]
# PBE-GGA CeLu2Mg, relaxed
# DFT formation energy ... 85 meV per atom
# Total moment ... 1.682 μB per cell
# Raw total energy ... -16.2 eV per cell
# Crystal system ... tetragonal
data_CeLu2Mg
_chemical_formula_sum 'Ce1 Lu2 Mg1'
_cell_length_a 4.8470
_cell_length_b 4.8470
_cell_length_c 4.8274
_cell_angle_alpha 90.00
_cell_angle_beta 90.00
_cell_angle_gamma 90.00
_space_group_name_H-M_alt 'P 4/m m m'
_space_group_IT_number 123
_space_group_name_Hall '-P 4 2'
loop_
_atom_site_label
_atom_site_type_symbol
_atom_site_fract_x
_atom_site_fract_y
_atom_site_fract_z
Ce1 Ce 0.0000 0.0000 0.0000
Lu1 Lu 0.0000 0.5000 0.5000
Mg1 Mg 0.5000 0.5000 0.0000

---

[4]
# PBE-GGA Ce2LuMg, relaxed
# DFT formation energy ... 93 meV per atom
# Total moment ... 1.813 μB per cell
# Raw total energy ... -17.6 eV per cell
# Crystal system ... tetragonal
data_Ce2LuMg
_chemical_formula_sum 'Ce2 Lu1 Mg1'
_cell_length_a 3.2927
_cell_length_b 3.2927
_cell_length_c 10.3169
_cell_angle_alpha 90.00
_cell_angle_beta 90.00
_cell_angle_gamma 90.00
_space_group_name_H-M_alt 'P 4/m m m'
_space_group_IT_number 123
_space_group_name_Hall '-P 4 2'
loop_
_atom_site_label
_atom_site_type_symbol
_atom_site_fract_x
_atom_site_fract_y
_atom_site_fract_z
Ce1 Ce 0.0000 0.0000 0.2445
Lu1 Lu 0.5000 0.5000 0.5000
Mg1 Mg 0.5000 0.5000 0.0000

---

Copy entry 2 word for word.
# PBE-GGA Ce2LuMg, relaxed
# DFT formation energy ... 149 meV per atom
# Total moment ... 8.908 μB per cell
# Raw total energy ... -69.5 eV per cell
# Crystal system ... cubic
data_Ce2LuMg
_chemical_formula_sum 'Ce8 Lu4 Mg4'
_cell_length_a 7.7457
_cell_length_b 7.7457
_cell_length_c 7.7457
_cell_angle_alpha 90.00
_cell_angle_beta 90.00
_cell_angle_gamma 90.00
_space_group_name_H-M_alt 'F m -3 m'
_space_group_IT_number 225
_space_group_name_Hall '-F 4 2 3'
loop_
_atom_site_label
_atom_site_type_symbol
_atom_site_fract_x
_atom_site_fract_y
_atom_site_fract_z
Ce1 Ce 0.2500 0.2500 0.2500
Lu1 Lu 0.0000 0.0000 0.0000
Mg1 Mg 0.0000 0.0000 0.5000

---

> Number 1 is which compound?

CeLu2Mg

---

> The highest DFT formation energy belongs to which entry?

number 2

---

> Look up the DFT formation energy of the fourth one.

93 meV per atom